Record 1
# Ho3InFe

Crystalline Ho3InFe at its relaxed geometry (PBE-GGA, Alexandria).

abc: 5.1089 5.1089 5.1089
angles: 90.00 90.00 90.00
Last column: nearest neighbours and their distance in Å.
Fractional positions:
Ho: 0.0000 0.0000 0.5000  2 Fe 2.55
Ho: 0.0000 0.5000 0.0000  2 Fe 2.55
Ho: 0.5000 0.0000 0.0000  2 Fe 2.55
In: 0.5000 0.5000 0.5000  12 Ho 3.61
Fe: 0.0000 0.0000 0.0000  6 Ho 2.55

## Properties
Its formation energy from the elements is -0.3 eV per formula unit. The space group is Pm-3m. For the energy above the most stable polymorph in this dataset, the calculation gives 175 meV/atom.


Record 2
# V6GaPt

Crystalline V6GaPt at its relaxed geometry (PBE-GGA, Alexandria).

abc: 4.3146 5.2619 5.2619
angles: 67.72 90.00 90.00
Last column: nearest neighbours and their distance in Å.
Fractional positions:
V: 0.0000 0.0000 0.0000  8 V 2.51-2.76
V: 0.0000 0.0110 0.5198  4 V 2.51-2.76, 2 Ga 2.57-2.69, 2 Pt 2.64
V: 0.0000 0.5198 0.0110  4 V 2.51-2.76, 2 Ga 2.57-2.69, 2 Pt 2.64
V: 0.5000 0.2353 0.7359  6 V 2.59-2.89, 2 Pt 2.59-2.67, 2 Ga 2.63
V: 0.5000 0.7359 0.2353  6 V 2.59-2.89, 2 Pt 2.59-2.67, 2 Ga 2.63
V: 0.5000 0.7411 0.7411  8 V 2.59-2.67, 2 Ga 2.88
Ga: 0.0000 0.5220 0.5220  8 V 2.57-2.69
Pt: 0.5000 0.2302 0.2302  8 V 2.59-2.67

## Properties
Its formation energy from the elements is -1.9 eV per formula unit. The space group is Amm2.


Record 3
# AcBiW

Crystalline AcBiW at its relaxed geometry (PBE-GGA, Alexandria).

abc: 7.0192 7.0192 6.2436
angles: 101.57 101.57 37.57
Last column: nearest neighbours and their distance in Å.
Fractional positions:
Ac: 0.1260 0.1260 0.3118  1 W 3.08
Ac: 0.8740 0.8740 0.6882  1 W 3.08
Bi: 0.4172 0.4172 0.2165  3 W 2.89-2.94
Bi: 0.5828 0.5828 0.7835  3 W 2.89-2.94
W: 0.2191 0.2191 0.8994  2 W 2.63, 3 Bi 2.89-2.94
W: 0.7809 0.7809 0.1006  2 W 2.63, 3 Bi 2.89-2.94

## Properties
Its formation energy from the elements is 0.4 eV per formula unit. The space group is C2/m.


Record 4
# Li2ZrAsO

Crystalline Li2ZrAsO at its relaxed geometry (PBE-GGA, Alexandria).

abc: 3.9452 3.9452 4.4283
angles: 90.00 90.00 90.00
Last column: nearest neighbours and their distance in Å.
Fractional positions:
Li: 0.0000 0.5000 0.0000  2 O 1.97
Li: 0.5000 0.0000 0.0000  2 O 1.97
Zr: 0.0000 0.0000 0.5000  2 O 2.21
As: 0.5000 0.5000 0.5000  4 Zr 2.79, 8 Li 2.97
O: 0.0000 0.0000 0.0000  4 Li 1.97

## Properties
The space group is P4/mmm. The value obtained for the uncorrected formation energy is -1532 meV per atom.


Record 5
# TcSnP

Crystalline TcSnP at its relaxed geometry (PBE-GGA, Alexandria).

abc: 3.1454 4.4915 8.4565
angles: 93.29 90.16 110.43
Last column: nearest neighbours and their distance in Å.
Fractional positions:
Tc: 0.1202 0.2448 0.3916  5 P 2.39-2.54
Tc: 0.8798 0.7552 0.6084  5 P 2.39-2.54
Sn: 0.3657 0.7219 0.8883  2 Tc 2.85, 5 Sn 2.92-3.18, 1 P 3.07
Sn: 0.6343 0.2781 0.1117  2 Tc 2.85, 5 Sn 2.92-3.18, 1 P 3.07
P: 0.4039 0.8105 0.3767  5 Tc 2.39-2.54, 1 P 2.55
P: 0.5961 0.1895 0.6233  5 Tc 2.39-2.54, 1 P 2.55

## Properties
Its formation energy from the elements is -0.7 eV per formula unit. The space group is P-1. For the energy above the most stable polymorph in this dataset, the calculation gives 53 meV/atom.


Record 6
# ZnCd2Ag2

Crystalline ZnCd2Ag2 at its relaxed geometry (PBE-GGA, Alexandria).

abc: 8.1265 8.1265 5.1811
angles: 90.00 90.00 146.37
Last column: nearest neighbours and their distance in Å.
Fractional positions:
Zn: 0.0501 0.9499 0.5000  5 Ag 2.83-3.00, 5 Cd 2.93-3.06, 2 Zn 3.02
Zn: 0.9499 0.0501 0.0000  5 Ag 2.83-3.00, 5 Cd 2.93-3.06, 2 Zn 3.02
Cd: 0.2459 0.7541 0.5613  6 Ag 2.82-2.96, 1 Zn 3.06
Cd: 0.4516 0.5484 0.6615  5 Ag 2.85-3.07, 4 Zn 2.93, 2 Cd 3.00
Cd: 0.5484 0.4516 0.1615  5 Ag 2.85-3.07, 4 Zn 2.93, 2 Cd 3.00
Cd: 0.7541 0.2459 0.0613  6 Ag 2.82-2.96, 1 Zn 3.06
Ag: 0.1398 0.8602 0.0128  5 Cd 2.85-2.96, 3 Zn 2.88-3.00, 2 Ag 3.05
Ag: 0.3597 0.6403 0.1370  6 Cd 2.82-3.07, 2 Zn 2.83, 2 Ag 3.05
Ag: 0.6403 0.3597 0.6370  6 Cd 2.82-3.07, 2 Zn 2.83, 2 Ag 3.05
Ag: 0.8602 0.1398 0.5128  5 Cd 2.85-2.96, 3 Zn 2.88-3.00, 2 Ag 3.05

## Properties
Its formation energy from the elements is 0.0 eV per formula unit. The space group is Cmc2_1. For the energy above the most stable polymorph in this dataset, the calculation gives 0 meV/atom.


Record 7
# PrSi3Pd10

Crystalline PrSi3Pd10 at its relaxed geometry (PBE-GGA, Alexandria).

abc: 8.7107 8.7107 8.7107
angles: 60.00 60.00 60.00
Last column: nearest neighbours and their distance in Å.
Fractional positions:
Pr: 0.2500 0.2500 0.2500  4 Pd 2.89
Pr: 0.7500 0.7500 0.7500  4 Pd 2.89
Si: 0.2355 0.2355 0.7645  8 Pd 2.41-2.49
Si: 0.2355 0.7645 0.2355  8 Pd 2.41-2.49
Si: 0.2355 0.7645 0.7645  8 Pd 2.41-2.49
Si: 0.7645 0.2355 0.2355  8 Pd 2.41-2.49
Si: 0.7645 0.2355 0.7645  8 Pd 2.41-2.49
Si: 0.7645 0.7645 0.2355  8 Pd 2.41-2.49
Pd: 0.1144 0.1144 0.1144  3 Si 2.49
Pd: 0.1144 0.1144 0.6568  3 Si 2.49
Pd: 0.1144 0.6568 0.1144  3 Si 2.49
Pd: 0.1558 0.5000 0.5000  2 Si 2.41
Pd: 0.1558 0.5000 0.8442  2 Si 2.41
Pd: 0.1558 0.8442 0.5000  2 Si 2.41
Pd: 0.3432 0.8856 0.8856  3 Si 2.49
Pd: 0.5000 0.1558 0.5000  2 Si 2.41
Pd: 0.5000 0.1558 0.8442  2 Si 2.41
Pd: 0.5000 0.5000 0.1558  2 Si 2.41
Pd: 0.5000 0.5000 0.8442  2 Si 2.41
Pd: 0.5000 0.8442 0.1558  2 Si 2.41
Pd: 0.5000 0.8442 0.5000  2 Si 2.41
Pd: 0.6568 0.1144 0.1144  3 Si 2.49
Pd: 0.8442 0.1558 0.5000  2 Si 2.41
Pd: 0.8442 0.5000 0.1558  2 Si 2.41
Pd: 0.8442 0.5000 0.5000  2 Si 2.41
Pd: 0.8856 0.3432 0.8856  3 Si 2.49
Pd: 0.8856 0.8856 0.3432  3 Si 2.49
Pd: 0.8856 0.8856 0.8856  3 Si 2.49

## Properties
The space group is Fm-3m. The value obtained for the uncorrected formation energy is -678 meV per atom.


Record 8
# IrOs3

Crystalline IrOs3 at its relaxed geometry (PBE-GGA, Alexandria).

abc: 4.7268 4.7268 4.7268
angles: 131.83 131.83 70.50
Last column: nearest neighbours and their distance in Å.
Fractional positions:
Ir: 0.0000 0.0000 0.0000  12 Os 2.73
Os: 0.2500 0.7500 0.5000  8 Os 2.73, 4 Ir 2.73
Os: 0.5000 0.5000 0.0000  4 Ir 2.73, 8 Os 2.73
Os: 0.7500 0.2500 0.5000  8 Os 2.73, 4 Ir 2.73

## Properties
Its formation energy from the elements is 0.4 eV per formula unit. The space group is I4/mmm.